No. 1
Entry from Alexandria: Hf2BeMo after structural relaxation (GGA-PBE).

abc: 2.8587 2.8587 31.6830
angles: 90.00 90.00 120.00
Space group R-3m (No. 166, hexagonal axes)
Asymmetric unit:
Hf  0.0000  0.0000  0.0846 (multiplicity 6)
Be  0.0000  0.0000  0.0000 (multiplicity 3)
Mo  0.0000  0.0000  0.5000 (multiplicity 3)

**Formation energy**: 0.740 eV/atom
**Magnetization**: 0.00 μB per cell

No. 2
Entry from Alexandria: HfBe17Mo after structural relaxation (GGA-PBE).

abc: 7.3821 7.3821 10.7526
angles: 90.00 90.00 120.00
Space group R3m (No. 160, hexagonal axes)
Asymmetric unit:
Hf  0.0000  0.0000  0.0000 (multiplicity 3)
Be  0.0000  0.0000  0.2447 (multiplicity 3)
Be  0.0000  0.0000  0.4419 (multiplicity 3)
Be  0.0029  0.5015  0.8397 (multiplicity 9)
Be  0.0035  0.2958  0.3403 (multiplicity 18)
Be  0.0083  0.5042  0.4957 (multiplicity 9)
Be  0.1671  0.3341  0.5175 (multiplicity 9)
Mo  0.0000  0.0000  0.6812 (multiplicity 3)

**Formation energy**: -0.183 eV/atom
**Magnetization**: 0.00 μB per cell

No. 3
Entry from Alexandria: HfBe2Mo after structural relaxation (GGA-PBE).

abc: 6.0053 6.0053 6.0053
angles: 90.00 90.00 90.00
Space group Fm-3m (No. 225)
Asymmetric unit:
Hf  0.0000  0.0000  0.0000 (multiplicity 4)
Be  0.2500  0.2500  0.2500 (multiplicity 8)
Mo  0.0000  0.0000  0.5000 (multiplicity 4)

**E above lowest polymorph**: 0 meV per atom
**Formation energy**: 0.048 eV/atom
**Magnetization**: 0.06 μB per cell

No. 4
Entry from Alexandria: Na2HfBeMo after structural relaxation (GGA-PBE).

abc: 5.1704 5.1704 4.3307
angles: 90.00 90.00 90.00
Space group P4/mmm (No. 123)
Asymmetric unit:
Na  0.0000  0.5000  0.0000 (multiplicity 2)
Hf  0.0000  0.0000  0.5000 (multiplicity 1)
Be  0.5000  0.5000  0.5000 (multiplicity 1)
Mo  0.5000  0.5000  0.0000 (multiplicity 1)

**Formation energy**: 1.796 eV/atom
**Magnetization**: 1.16 μB per cell

No. 5
Entry from Alexandria: HfBe2NbMo after structural relaxation (GGA-PBE).

abc: 4.4003 4.4003 4.6651
angles: 90.00 90.00 90.00
Space group P4/mmm (No. 123)
Asymmetric unit:
Hf  0.0000  0.0000  0.0000 (multiplicity 1)
Be  0.0000  0.5000  0.5000 (multiplicity 2)
Nb  0.5000  0.5000  0.5000 (multiplicity 1)
Mo  0.5000  0.5000  0.0000 (multiplicity 1)

**Formation energy**: 1.163 eV/atom
**Magnetization**: 0.00 μB per cell

Q: Look up the formation energy of the second one.
A: -0.183 eV/atom